GGA-PBE LiZr2CuPt2, optimized geometry; formation energy = -0.6893 eV per atom; crystal system = orthorhombic
1.0
-2.724 7.205 2.669
2.724 -7.205 2.669
2.724 7.205 -2.669
Li Zr Cu Pt
2 4 2 4
Direct
0.250 0.250 0.000
0.750 0.750 0.000
0.169 0.701 0.870
0.331 0.201 0.531
0.669 0.799 0.469
0.831 0.299 0.130
0.250 0.750 0.500
0.750 0.250 0.500
0.138 0.206 0.344
0.362 0.706 0.068
0.638 0.294 0.932
0.862 0.794 0.656

=====

GGA-PBE LiPuCu10, optimized geometry; formation energy = 0.0002 eV per atom; crystal system = orthorhombic
1.0
4.089 0.000 0.000
0.000 4.975 0.000
0.000 0.000 8.595
Li Pu Cu
1 1 10
Direct
0.000 0.000 0.000
0.000 0.500 0.500
0.000 0.000 0.316
0.000 0.000 0.684
0.000 0.500 0.157
0.000 0.500 0.843
0.500 0.000 0.500
0.500 0.252 0.249
0.500 0.252 0.751
0.500 0.500 0.000
0.500 0.748 0.249
0.500 0.748 0.751

=====

GGA-PBE LiPu2Cu9, optimized geometry; formation energy = 0.0091 eV per atom; crystal system = trigonal
1.0
2.525 1.458 8.372
-2.525 1.458 8.372
0.000 -2.916 8.372
Li Pu Cu
1 2 9
Direct
0.000 0.000 0.000
0.144 0.144 0.144
0.856 0.856 0.856
0.081 0.580 0.580
0.333 0.333 0.333
0.420 0.420 0.919
0.420 0.919 0.420
0.500 0.500 0.500
0.580 0.081 0.580
0.580 0.580 0.081
0.667 0.667 0.667
0.919 0.420 0.420

=====

GGA-PBE LiPu2Cu16, optimized geometry; formation energy = -0.0185 eV per atom; crystal system = trigonal
1.0
4.300 2.483 4.181
-4.300 2.483 4.181
0.000 -4.965 4.181
Li Pu Cu
1 2 16
Direct
0.000 0.000 0.000
0.436 0.436 0.436
0.741 0.741 0.741
0.093 0.391 0.795
0.093 0.795 0.391
0.094 0.094 0.591
0.094 0.591 0.094
0.192 0.192 0.192
0.248 0.747 0.747
0.391 0.093 0.795
0.391 0.795 0.093
0.436 0.436 0.941
0.436 0.941 0.436
0.591 0.094 0.094
0.747 0.248 0.747
0.747 0.747 0.248
0.795 0.093 0.391
0.795 0.391 0.093
0.941 0.436 0.436

=====

Question: formation energy of number 4 (LiPu2Cu16)?
Answer: -0.0185 eV per atom

=====

Copy entry 2 word for word.
GGA-PBE LiPuCu10, optimized geometry; formation energy = 0.0002 eV per atom; crystal system = orthorhombic
1.0
4.089 0.000 0.000
0.000 4.975 0.000
0.000 0.000 8.595
Li Pu Cu
1 1 10
Direct
0.000 0.000 0.000
0.000 0.500 0.500
0.000 0.000 0.316
0.000 0.000 0.684
0.000 0.500 0.157
0.000 0.500 0.843
0.500 0.000 0.500
0.500 0.252 0.249
0.500 0.252 0.751
0.500 0.500 0.000
0.500 0.748 0.249
0.500 0.748 0.751

=====

Repeat the first record exactly.
GGA-PBE LiZr2CuPt2, optimized geometry; formation energy = -0.6893 eV per atom; crystal system = orthorhombic
1.0
-2.724 7.205 2.669
2.724 -7.205 2.669
2.724 7.205 -2.669
Li Zr Cu Pt
2 4 2 4
Direct
0.250 0.250 0.000
0.750 0.750 0.000
0.169 0.701 0.870
0.331 0.201 0.531
0.669 0.799 0.469
0.831 0.299 0.130
0.250 0.750 0.500
0.750 0.250 0.500
0.138 0.206 0.344
0.362 0.706 0.068
0.638 0.294 0.932
0.862 0.794 0.656